A) The following is a DFT calculation (PBE-GGA) of crystalline LiHgS2N at its relaxed geometry.

a = 5.1837 Å, b = 5.1837 Å, c = 4.2600 Å
α = 90.00°, β = 90.00°, γ = 90.00°
Site moments in Bohr magnetons follow the coordinates.
Positions (direct):
S: 0.0000 0.5000 0.0000  0.38
S: 0.5000 0.0000 0.0000  0.38
Li: 0.5000 0.5000 0.5000  0.00
Hg: 0.0000 0.0000 0.0000  0.07
N: 0.0000 0.0000 0.5000  1.18

Calculated values
Total magnetization (μB per formula unit): 2.95
V (Å³/atom): 22.89
Theoretical density (Mg/m³): 4.14

***

B) The following is a DFT calculation (PBE-GGA) of crystalline LiHgS2N at its relaxed geometry.

a = 4.6825 Å, b = 4.6825 Å, c = 3.6697 Å
α = 90.00°, β = 90.00°, γ = 90.00°
Positions (direct):
S: 0.0000 0.5000 0.0000
S: 0.5000 0.0000 0.0000
Li: 0.0000 0.0000 0.0000
Hg: 0.5000 0.5000 0.5000
N: 0.0000 0.0000 0.5000

Calculated values
Total magnetization (μB per formula unit): 0.00
V (Å³/atom): 16.09
Theoretical density (Mg/m³): 5.90

***

Tell me which of them is the most stable. Sure, it is A).

***

A) The following is a DFT calculation (PBE-GGA) of crystalline Li2ScHgN at its relaxed geometry.

a = 4.2796 Å, b = 4.2796 Å, c = 4.2413 Å
α = 90.00°, β = 90.00°, γ = 90.00°
Positions (direct):
Sc: 0.0000 0.0000 0.5000
Li: 0.0000 0.5000 0.0000
Li: 0.5000 0.0000 0.0000
Hg: 0.5000 0.5000 0.5000
N: 0.0000 0.0000 0.0000

Calculated values
Total magnetization (μB per formula unit): 0.00
V (Å³/atom): 15.54
Theoretical density (Mg/m³): 5.85

***

B) The following is a DFT calculation (PBE-GGA) of crystalline Li2ScHgN at its relaxed geometry.

a = 4.4239 Å, b = 5.5571 Å, c = 4.4239 Å
α = 90.00°, β = 90.00°, γ = 90.00°
Positions (direct):
Sc: 0.0000 0.5000 0.0000
Li: 0.0000 0.0000 0.5000
Li: 0.5000 0.0000 0.0000
Hg: 0.0000 0.0000 0.0000
N: 0.5000 0.5000 0.5000

Calculated values
Total magnetization (μB per formula unit): 0.00
V (Å³/atom): 21.75
Theoretical density (Mg/m³): 4.17

***

Tell me which of them is the most stable. Sure, it is A).

***

A) The following is a DFT calculation (PBE-GGA) of crystalline NaLi2Hg2 at its relaxed geometry.

a = 8.0480 Å, b = 8.0480 Å, c = 3.2147 Å
α = 90.00°, β = 90.00°, γ = 90.00°
Positions (direct):
Na: 0.0000 0.0000 0.0000
Na: 0.5000 0.5000 0.0000
Hg: 0.1664 0.6664 0.5000
Hg: 0.6664 0.8336 0.5000
Hg: 0.8336 0.3336 0.5000
Hg: 0.3336 0.1664 0.5000
Li: 0.3728 0.8728 0.0000
Li: 0.8728 0.6272 0.0000
Li: 0.6272 0.1272 0.0000
Li: 0.1272 0.3728 0.0000

Calculated values
Total magnetization (μB per formula unit): 0.00
V (Å³/atom): 20.82
Theoretical density (Mg/m³): 6.99

***

B) The following is a DFT calculation (PBE-GGA) of crystalline NaLi2Hg2 at its relaxed geometry.

a = 4.9809 Å, b = 4.9809 Å, c = 5.6179 Å
α = 90.00°, β = 90.00°, γ = 120.00°
Positions (direct):
Na: 0.0000 0.0000 0.0000
Li: 0.3333 0.6667 0.6805
Li: 0.6667 0.3333 0.3195
Hg: 0.3333 0.6667 0.2001
Hg: 0.6667 0.3333 0.7999

Calculated values
Total magnetization (μB per formula unit): 0.00
V (Å³/atom): 24.14
Theoretical density (Mg/m³): 6.03

***

C) The following is a DFT calculation (PBE-GGA) of crystalline NaLi2Hg2 at its relaxed geometry.

a = 4.1535 Å, b = 4.1535 Å, c = 7.2624 Å
α = 73.38°, β = 73.38°, γ = 90.00°
Positions (direct):
Na: 0.0000 0.0000 0.0000
Hg: 0.3893 0.3893 0.2214
Hg: 0.6107 0.6107 0.7786
Li: 0.7500 0.2500 0.5000
Li: 0.2500 0.7500 0.5000

Calculated values
Total magnetization (μB per formula unit): 0.00
V (Å³/atom): 22.92
Theoretical density (Mg/m³): 6.35

***

D) The following is a DFT calculation (PBE-GGA) of crystalline NaLi2Hg2 at its relaxed geometry.

a = 8.1359 Å, b = 8.1359 Å, c = 3.2420 Å
α = 90.00°, β = 90.00°, γ = 90.00°
Positions (direct):
Na: 0.0000 0.0000 0.0000
Na: 0.5000 0.5000 0.0000
Hg: 0.3612 0.8612 0.0000
Hg: 0.8612 0.6388 0.0000
Hg: 0.6388 0.1388 0.0000
Hg: 0.1388 0.3612 0.0000
Li: 0.1563 0.6563 0.5000
Li: 0.6563 0.8437 0.5000
Li: 0.8437 0.3437 0.5000
Li: 0.3437 0.1563 0.5000

Calculated values
Total magnetization (μB per formula unit): 0.04
V (Å³/atom): 21.46
Theoretical density (Mg/m³): 6.78

***

Tell me which of them is the most stable. Sure, it is A).

***

A) The following is a DFT calculation (PBE-GGA) of crystalline Na6LiHg at its relaxed geometry.

a = 4.1609 Å, b = 7.7224 Å, c = 7.7222 Å
α = 89.25°, β = 90.00°, γ = 90.00°
Positions (direct):
Na: 0.0000 0.6037 0.8521
Na: 0.0000 0.1479 0.3963
Na: 0.0000 0.5968 0.4032
Na: 0.5000 0.8975 0.6388
Na: 0.5000 0.3611 0.1025
Na: 0.5000 0.8871 0.1129
Li: 0.0000 0.1613 0.8387
Hg: 0.5000 0.3447 0.6553

Calculated values
Total magnetization (μB per formula unit): 0.00
V (Å³/atom): 31.01
Theoretical density (Mg/m³): 2.31

***

B) The following is a DFT calculation (PBE-GGA) of crystalline Na6LiHg at its relaxed geometry.

a = 8.9849 Å, b = 8.9869 Å, c = 6.2813 Å
α = 44.16°, β = 44.19°, γ = 59.29°
Positions (direct):
Na: 0.9955 0.4989 0.7590
Na: 0.7464 0.9985 0.7565
Na: 0.5003 0.2541 0.2406
Na: 0.2536 0.0015 0.2435
Na: 0.0045 0.5011 0.2410
Na: 0.4997 0.7459 0.7594
Li: 0.0000 0.0000 0.0000
Hg: 0.5000 0.5000 0.5000

Calculated values
Total magnetization (μB per formula unit): 0.00
V (Å³/atom): 30.78
Theoretical density (Mg/m³): 2.33

***

Tell me which of them is the most stable. Sure, it is A).

***

A) The following is a DFT calculation (PBE-GGA) of crystalline NaLiHg at its relaxed geometry.

a = 3.6004 Å, b = 3.6004 Å, c = 11.8741 Å
α = 98.72°, β = 98.72°, γ = 90.00°
Positions (direct):
Li: 0.2857 0.2857 0.5715
Li: 0.7143 0.7143 0.4285
Hg: 0.1630 0.1630 0.3259
Hg: 0.8370 0.8370 0.6741
Na: 0.5752 0.5752 0.1504
Na: 0.4248 0.4248 0.8496

Calculated values
Total magnetization (μB per formula unit): 0.00
V (Å³/atom): 25.06
Theoretical density (Mg/m³): 5.09

***

B) The following is a DFT calculation (PBE-GGA) of crystalline NaLiHg at its relaxed geometry.

a = 3.1863 Å, b = 4.9865 Å, c = 4.9865 Å
α = 120.00°, β = 90.00°, γ = 90.00°
Positions (direct):
Na: 0.6468 0.3333 0.6667
Hg: 0.0732 0.0000 0.0000
Li: 0.2800 0.6667 0.3333

Calculated values
Total magnetization (μB per formula unit): 0.00
V (Å³/atom): 22.87
Theoretical density (Mg/m³): 5.58

***

Tell me which of them is the most stable. Sure, it is A).

***

A) The following is a DFT calculation (PBE-GGA) of crystalline NaLiHg at its relaxed geometry.

a = 4.3231 Å, b = 4.3231 Å, c = 7.8534 Å
α = 90.00°, β = 90.00°, γ = 90.00°
Positions (direct):
Na: 0.0000 0.5000 0.8588
Na: 0.5000 0.0000 0.1412
Li: 0.5000 0.5000 0.5000
Li: 0.0000 0.0000 0.5000
Hg: 0.0000 0.5000 0.2710
Hg: 0.5000 0.0000 0.7290

Calculated values
Total magnetization (μB per formula unit): 0.00
V (Å³/atom): 24.46
Theoretical density (Mg/m³): 5.22

***

B) The following is a DFT calculation (PBE-GGA) of crystalline NaLiHg at its relaxed geometry.

a = 3.6431 Å, b = 3.6431 Å, c = 5.9426 Å
α = 107.85°, β = 107.85°, γ = 90.00°
Positions (direct):
Na: 0.0053 0.0053 0.0105
Hg: 0.6958 0.6958 0.3916
Li: 0.2989 0.2989 0.5979

Calculated values
Total magnetization (μB per formula unit): 0.00
V (Å³/atom): 23.69
Theoretical density (Mg/m³): 5.39

***

C) The following is a DFT calculation (PBE-GGA) of crystalline NaLiHg at its relaxed geometry.

a = 4.9055 Å, b = 4.9055 Å, c = 4.9055 Å
α = 60.00°, β = 60.00°, γ = 60.00°
Positions (direct):
Na: 0.5000 0.5000 0.5000
Hg: 0.2500 0.2500 0.2500
Li: 0.0000 0.0000 0.0000

Calculated values
Total magnetization (μB per formula unit): 0.00
V (Å³/atom): 27.82
Theoretical density (Mg/m³): 4.59

***

Tell me which of them is the most stable. Sure, it is A).